Entry 1:
DFT (PBE-GGA) results for a geometry-optimized KCrC2 structure.

Symmetry: Fm-3m
ΔH_f (0 K): 2.661 eV per atom

```
4
Lattice="0.000 2.891 2.891 2.891 0.000 2.891 2.891 2.891 0.000" Properties=species:S:1:pos:R:3 pbc="T T T"
Cr 2.891 2.891 2.891
K 0.000 0.000 0.000
C 1.445 1.445 1.445
C 4.336 4.336 4.336
```


Entry 2:
DFT (PBE-GGA) results for a geometry-optimized ZrMo2W structure.

Polymorph energy (0 for the lowest one): 81 meV/atom
Symmetry: Pm
ΔH_f (0 K): 0.052 eV per atom

```
4
Lattice="-0.460 4.061 -2.010 0.989 -1.100 -2.449 -4.556 -1.646 -2.283" Properties=species:S:1:pos:R:3 pbc="T T T"
Mo -0.018 -0.018 -0.032
Mo -1.130 1.343 -2.187
W -1.755 -1.347 -2.320
Zr -2.908 -0.037 -4.569
```


Entry 3:
DFT (PBE-GGA) results for a geometry-optimized AgBPt3 structure.

Polymorph energy (0 for the lowest one): 104 meV/atom
Symmetry: P4mm
ΔH_f (0 K): -0.121 eV per atom

```
5
Lattice="4.019 0.000 0.000 0.000 4.019 0.000 0.000 0.000 4.686" Properties=species:S:1:pos:R:3 pbc="T T T"
B 0.000 0.000 0.687
Ag 2.009 2.009 3.792
Pt 0.000 0.000 3.367
Pt 2.009 0.000 1.381
Pt 0.000 2.009 1.381
```


Entry 4:
DFT (PBE-GGA) results for a geometry-optimized LaCe2Th3N6 structure.

Energy relative to the elements, uncorrected: -1765 kJ/mol of formula units
Symmetry: C2/m

```
12
Lattice="-6.029 1.568 -1.116 1.988 -5.907 -1.101 -0.082 -0.075 6.306" Properties=species:S:1:pos:R:3 pbc="T T T"
La 0.000 0.000 0.000
Ce -0.685 -3.415 -1.106
Ce -3.357 -0.924 -1.111
Th 0.613 -4.700 2.049
Th -4.736 0.286 2.039
Th -2.062 -2.207 2.044
N -4.441 -1.980 3.033
N -3.005 -3.223 -0.036
N 0.318 -2.434 1.055
N -1.671 -4.563 3.038
N -1.118 -1.191 4.125
N -2.452 0.148 1.050
```


Entry 5:
DFT (PBE-GGA) results for a geometry-optimized BaNi2IrRh structure.

Symmetry: P4/mmm
ΔH_f (0 K): 2.319 eV per atom

```
5
Lattice="-1.037 3.263 -3.228 -4.326 0.889 2.289 2.078 3.285 2.652" Properties=species:S:1:pos:R:3 pbc="T T T"
Ni 1.039 1.642 1.326
Ni -0.519 1.631 -1.614
Ir -1.643 3.718 0.856
Rh -2.163 0.445 1.145
Ba 0.000 0.000 0.000
```


Entry 6:
DFT (PBE-GGA) results for a geometry-optimized BaNdPaO6 structure.

Energy relative to the elements, uncorrected: -2316 kJ/mol of formula units
Symmetry: P312

```
9
Lattice="4.812 0.000 0.000 0.000 6.254 0.000 0.000 -3.127 5.416" Properties=species:S:1:pos:R:3 pbc="T T T"
Ba 2.406 3.127 1.805
Nd 2.406 0.000 0.000
Pa 0.000 0.000 3.611
O 3.635 1.834 3.819
O 3.635 -1.097 5.095
O 3.635 -0.737 1.919
O 1.177 0.737 1.919
O 1.177 1.097 5.095
O 1.177 -1.834 3.819
```


Entry 7:
DFT (PBE-GGA) results for a geometry-optimized SrCaSmTm structure.

Symmetry: F-43m
ΔH_f (0 K): 0.199 eV per atom

```
4
Lattice="-5.105 2.656 1.607 -5.239 -2.364 -1.630 -3.532 -2.544 4.092" Properties=species:S:1:pos:R:3 pbc="T T T"
Sr -3.469 -0.563 1.017
Ca -6.938 -1.126 2.035
Tm 0.000 0.000 0.000
Sm -10.407 -1.689 3.052
```


The calculation returns the following total magnetic moment values, one per record and in order: 0.00 0.00 0.00 0.00 1.19 2.04 0.00 μB/cell.